# Ag3Hg, optimized geometry, DFT GGA-PBEsol
data_Ag3Hg
_cell_length_a 2.943
_cell_length_b 2.943
_cell_length_c 8.143
_cell_angle_alpha 90.00
_cell_angle_beta 90.00
_cell_angle_gamma 90.00
_space_group_name_H-M_alt 'P 4/m m m'
_space_group_IT_number 123
_space_group_name_Hall '-P 4 2'
loop_
_atom_site_label
_atom_site_type_symbol
_atom_site_fract_x
_atom_site_fract_y
_atom_site_fract_z
Ag1 Ag 0.000 0.000 0.000
Ag2 Ag 0.500 0.500 0.239
Hg1 Hg 0.000 0.000 0.500
# Energy of formation: 15 meV/atom
# Raw total energy: -2.610 eV/atom
# Fermi-level density of states: 1.08 states/eV/f.u.